This record from the Alexandria database describes a relaxed structure of TlGeCl3. The functional is PBE.

a b c (Å): 9.7487 9.7487 9.7487
angles (deg): 60.00 60.00 60.00
Fractional positions:
Tl: 0.6250 0.6250 0.6250
Tl: 0.6250 0.1250 0.6250
Tl: 0.1250 0.6250 0.6250
Tl: 0.6250 0.6250 0.1250
Ge: 0.1250 0.1250 0.1250
Ge: 0.1250 0.6250 0.1250
Ge: 0.6250 0.1250 0.1250
Ge: 0.1250 0.1250 0.6250
Cl: 0.7928 0.2072 0.2072
Cl: 0.0428 0.4572 0.4572
Cl: 0.4572 0.4572 0.0428
Cl: 0.4572 0.0428 0.0428
Cl: 0.0428 0.4572 0.0428
Cl: 0.7928 0.2072 0.7928
Cl: 0.4572 0.0428 0.4572
Cl: 0.0428 0.0428 0.4572
Cl: 0.2072 0.7928 0.2072
Cl: 0.2072 0.7928 0.7928
Cl: 0.2072 0.2072 0.7928
Cl: 0.7928 0.7928 0.2072

total energy	-3.3023	eV/atom
volume	32.76	Å³/atom
DOS(E_F)	0.00	states/eV per cell
SG	Fd-3m



This record from the Alexandria database describes a relaxed structure of Pm2MgIr2. The functional is PBE.

a b c (Å): 5.5886 5.8599 8.2247
angles (deg): 105.25 90.00 118.48
Fractional positions:
Pm: 0.4942 0.2918 0.1467
Pm: 0.2024 0.7082 0.3533
Pm: 0.5058 0.7082 0.8533
Pm: 0.7976 0.2918 0.6467
Mg: 0.8709 0.0000 0.2500
Mg: 0.1291 0.0000 0.7500
Ir: 0.7080 0.7204 0.4842
Ir: 0.9876 0.2796 0.0158
Ir: 0.2920 0.2796 0.5158
Ir: 0.0124 0.7204 0.9842

volume	22.59	Å³/atom
DOS(E_F)	4.05	states/eV per cell
SG	C2/c
E_form	-3.2	eV per formula unit